# 1
## NdPd4S2 (PBE-GGA)

Data for a relaxed structure of NdPd4S2.

Geometry as CIF:
```
data_NdPd4S2
_chemical_formula_sum 'Nd2 Pd8 S4'
_cell_length_a 7.6567
_cell_length_b 7.6567
_cell_length_c 4.0616
_cell_angle_alpha 90.00
_cell_angle_beta 90.00
_cell_angle_gamma 90.00
_space_group_name_H-M_alt 'P 42/m n m'
_space_group_IT_number 136
_space_group_name_Hall '-P 4n 2n'
loop_
_atom_site_label
_atom_site_type_symbol
_atom_site_fract_x
_atom_site_fract_y
_atom_site_fract_z
_atom_site_occupancy
Nd1 Nd 0.0000 0.0000 0.0000 1
Pd1 Pd 0.0814 0.3315 0.5000 1
S1 S 0.2225 0.7775 0.5000 1
```

Summary:
**M_tot**: 0.000 μB per formula unit
**N(E_F)**: 0.7644 states/eV per atom
**ΔE_f (raw)**: -0.679 eV per atom

=====

# 2
## Zr2AgW (PBE-GGA)

Data for a relaxed structure of Zr2AgW.

Geometry as CIF:
```
data_Zr2AgW
_chemical_formula_sum 'Zr8 Ag4 W4'
_cell_length_a 4.1394
_cell_length_b 4.1394
_cell_length_c 19.6031
_cell_angle_alpha 90.00
_cell_angle_beta 90.00
_cell_angle_gamma 90.00
_space_group_name_H-M_alt 'I -4 2 d'
_space_group_IT_number 122
_space_group_name_Hall 'I -4 2bw'
loop_
_atom_site_label
_atom_site_type_symbol
_atom_site_fract_x
_atom_site_fract_y
_atom_site_fract_z
_atom_site_occupancy
Zr1 Zr 0.2395 0.2500 0.1250 1
Ag1 Ag 0.0000 0.0000 0.5000 1
W1 W 0.0000 0.0000 0.0000 1
```

Summary:
**M_tot**: 0.000 μB per formula unit
**N(E_F)**: 1.2207 states/eV per atom
**Polymorph energy (0 for the lowest one)**: 3.47 eV/f.u.
**Energy of formation**: 0.869 eV per atom

=====

# 3
## Cs2AlF (PBE-GGA)

Data for a relaxed structure of Cs2AlF.

Geometry as CIF:
```
data_Cs2AlF
_chemical_formula_sum 'Cs8 Al4 F4'
_cell_length_a 8.7067
_cell_length_b 8.7067
_cell_length_c 10.1114
_cell_angle_alpha 90.00
_cell_angle_beta 90.00
_cell_angle_gamma 90.00
_space_group_name_H-M_alt 'I -4 2 d'
_space_group_IT_number 122
_space_group_name_Hall 'I -4 2bw'
loop_
_atom_site_label
_atom_site_type_symbol
_atom_site_fract_x
_atom_site_fract_y
_atom_site_fract_z
_atom_site_occupancy
Cs1 Cs 0.1428 0.2500 0.1250 1
Al1 Al 0.0000 0.0000 0.5000 1
F1 F 0.0000 0.0000 0.0000 1
```

Summary:
**M_tot**: 1.101 μB per formula unit
**N(E_F)**: 0.8256 states/eV per atom
**ΔE_f (raw)**: -0.840 eV per atom
**Polymorph energy (0 for the lowest one)**: 0.00 eV/f.u.

=====

# 4
## Sc5Pt (PBE-GGA)

Data for a relaxed structure of Sc5Pt.

Geometry as CIF:
```
data_Sc5Pt
_chemical_formula_sum 'Sc20 Pt4'
_cell_length_a 8.0540
_cell_length_b 8.0540
_cell_length_c 8.0540
_cell_angle_alpha 90.00
_cell_angle_beta 90.00
_cell_angle_gamma 90.00
_space_group_name_H-M_alt 'F -4 3 m'
_space_group_IT_number 216
_space_group_name_Hall 'F -4 2 3'
loop_
_atom_site_label
_atom_site_type_symbol
_atom_site_fract_x
_atom_site_fract_y
_atom_site_fract_z
_atom_site_occupancy
Sc1 Sc 0.0000 0.0000 0.0000 1
Sc2 Sc 0.1249 0.1249 0.6249 1
Pt1 Pt 0.2500 0.2500 0.2500 1
```

Summary:
**M_tot**: 0.002 μB per formula unit
**N(E_F)**: 1.5058 states/eV per atom
**Polymorph energy (0 for the lowest one)**: 3.26 eV/f.u.
**Energy of formation**: 0.119 eV per atom

=====

# 5
## Al2VRh2 (PBE-GGA)

Data for a relaxed structure of Al2VRh2.

Geometry as CIF:
```
data_Al2VRh2
_chemical_formula_sum 'Al4 V2 Rh4'
_cell_length_a 7.1604
_cell_length_b 7.1604
_cell_length_c 2.8083
_cell_angle_alpha 90.00
_cell_angle_beta 90.00
_cell_angle_gamma 90.00
_space_group_name_H-M_alt 'P 4/m b m'
_space_group_IT_number 127
_space_group_name_Hall '-P 4 2ab'
loop_
_atom_site_label
_atom_site_type_symbol
_atom_site_fract_x
_atom_site_fract_y
_atom_site_fract_z
_atom_site_occupancy
Al1 Al 0.1329 0.3671 0.0000 1
V1 V 0.0000 0.0000 0.0000 1
Rh1 Rh 0.1655 0.6655 0.5000 1
```

Summary:
**M_tot**: 1.620 μB per formula unit
**N(E_F)**: 0.6926 states/eV per atom
**Polymorph energy (0 for the lowest one)**: 0.00 eV/f.u.
**Energy of formation**: -0.600 eV per atom

=====

# 6
## Li2PaAgF8 (PBE-GGA)

Data for a relaxed structure of Li2PaAgF8.

Geometry as CIF:
```
data_Li2PaAgF8
_chemical_formula_sum 'Li2 Pa1 Ag1 F8'
_cell_length_a 5.5380
_cell_length_b 5.5380
_cell_length_c 7.4718
_cell_angle_alpha 90.00
_cell_angle_beta 90.00
_cell_angle_gamma 120.00
_space_group_name_H-M_alt 'P -3 m 1'
_space_group_IT_number 164
_space_group_name_Hall '-P 3 2"'
loop_
_atom_site_label
_atom_site_type_symbol
_atom_site_fract_x
_atom_site_fract_y
_atom_site_fract_z
_atom_site_occupancy
Li1 Li 0.3333 0.6667 0.1622 1
Pa1 Pa 0.0000 0.0000 0.5000 1
Ag1 Ag 0.0000 0.0000 0.0000 1
F1 F 0.1704 0.3409 0.3225 1
F2 F 0.3333 0.6667 0.9284 1
```

Summary:
**M_tot**: 0.070 μB per formula unit
**ΔE_f (raw)**: -2.855 eV per atom

=====

# 7
## Tb6Pm4Er (PBE-GGA)

Data for a relaxed structure of Tb6Pm4Er.

Geometry as CIF:
```
data_Tb6Pm4Er
_chemical_formula_sum 'Tb12 Pm8 Er2'
_cell_length_a 6.6401
_cell_length_b 6.6401
_cell_length_c 17.0562
_cell_angle_alpha 90.00
_cell_angle_beta 90.00
_cell_angle_gamma 90.00
_space_group_name_H-M_alt 'I -4 2 m'
_space_group_IT_number 121
_space_group_name_Hall 'I -4 2'
loop_
_atom_site_label
_atom_site_type_symbol
_atom_site_fract_x
_atom_site_fract_y
_atom_site_fract_z
_atom_site_occupancy
Tb1 Tb 0.0000 0.5000 0.0000 1
Tb2 Tb 0.1777 0.1777 0.3738 1
Pm1 Pm 0.1891 0.1891 0.1755 1
Er1 Er 0.0000 0.0000 0.0000 1
```

Summary:
**M_tot**: 0.000 μB per formula unit
**N(E_F)**: 1.3379 states/eV per atom
**Polymorph energy (0 for the lowest one)**: 1.50 eV/f.u.
**Energy of formation**: 0.294 eV per atom

=====

# 8
## KYSi2 (PBE-GGA)

Data for a relaxed structure of KYSi2.

Geometry as CIF:
```
data_KYSi2
_chemical_formula_sum 'K4 Y4 Si8'
_cell_length_a 7.2888
_cell_length_b 7.2888
_cell_length_c 7.2888
_cell_angle_alpha 90.00
_cell_angle_beta 90.00
_cell_angle_gamma 90.00
_space_group_name_H-M_alt 'F m -3 m'
_space_group_IT_number 225
_space_group_name_Hall '-F 4 2 3'
loop_
_atom_site_label
_atom_site_type_symbol
_atom_site_fract_x
_atom_site_fract_y
_atom_site_fract_z
_atom_site_occupancy
K1 K 0.0000 0.0000 0.0000 1
Y1 Y 0.0000 0.0000 0.5000 1
Si1 Si 0.2500 0.2500 0.2500 1
```

Summary:
**M_tot**: 0.000 μB per formula unit
**N(E_F)**: 0.5578 states/eV per atom
**ΔE_f (raw)**: 0.200 eV per atom
**Polymorph energy (0 for the lowest one)**: 1.80 eV/f.u.

=====

# 9
## HoAl2O4 (PBE-GGA)

Data for a relaxed structure of HoAl2O4.

Geometry as CIF:
```
data_HoAl2O4
_chemical_formula_sum 'Ho8 Al16 O32'
_cell_length_a 9.7276
_cell_length_b 11.1315
_cell_length_c 6.2640
_cell_angle_alpha 90.00
_cell_angle_beta 90.00
_cell_angle_gamma 90.00
_space_group_name_H-M_alt 'F d d 2'
_space_group_IT_number 43
_space_group_name_Hall 'F 2 -2d'
loop_
_atom_site_label
_atom_site_type_symbol
_atom_site_fract_x
_atom_site_fract_y
_atom_site_fract_z
_atom_site_occupancy
Ho1 Ho 0.0000 0.0000 0.0000 1
Al1 Al 0.1171 0.3142 0.8230 1
O1 O 0.0651 0.1269 0.3186 1
O2 O 0.0771 0.1549 0.7997 1
```

Summary:
**M_tot**: 0.000 μB per formula unit
**N(E_F)**: 0.1355 states/eV per atom
**ΔE_f (raw)**: -2.805 eV per atom
**Polymorph energy (0 for the lowest one)**: 0.00 eV/f.u.

=====

# 10
## TaAs2Os (PBE-GGA)

Data for a relaxed structure of TaAs2Os.

Geometry as CIF:
```
data_TaAs2Os
_chemical_formula_sum 'Ta3 As6 Os3'
_cell_length_a 3.0078
_cell_length_b 3.0078
_cell_length_c 24.8414
_cell_angle_alpha 90.00
_cell_angle_beta 90.00
_cell_angle_gamma 120.00
_space_group_name_H-M_alt 'R -3 m'
_space_group_IT_number 166
_space_group_name_Hall '-R 3 2"'
loop_
_atom_site_label
_atom_site_type_symbol
_atom_site_fract_x
_atom_site_fract_y
_atom_site_fract_z
_atom_site_occupancy
Ta1 Ta 0.0000 0.0000 0.0000 1
As1 As 0.0000 0.0000 0.2435 1
Os1 Os 0.0000 0.0000 0.5000 1
```

Summary:
**M_tot**: 0.000 μB per formula unit
**N(E_F)**: 0.8353 states/eV per atom
**Polymorph energy (0 for the lowest one)**: 1.38 eV/f.u.
**Energy of formation**: 0.236 eV per atom